Compound: Li2HN
Source: the Alexandria database
Functional: PBE
Structure: optimized geometry

Geometry as CIF:
```
data_Li2HN
_chemical_formula_sum 'Li8 H4 N4'
_space_group_name_H-M_alt 'C 1 2/c 1'
_space_group_IT_number 15
_space_group_name_Hall '-C 2yc'
_cell_length_a 6.492
_cell_length_b 3.560
_cell_length_c 6.436
_cell_angle_alpha 90.00
_cell_angle_beta 113.63
_cell_angle_gamma 90.00
loop_
_atom_site_label
_atom_site_type_symbol
_atom_site_fract_x
_atom_site_fract_y
_atom_site_fract_z
Li1 Li 0.147 0.186 0.109
H1 H 0.000 0.486 0.750
N1 N 0.000 0.195 0.750
```

=====

Compound: LiH2N
Source: the Alexandria database
Functional: PBE
Structure: optimized geometry

Geometry as CIF:
```
data_LiH2N
_chemical_formula_sum 'Li4 H8 N4'
_space_group_name_H-M_alt 'P 1 21/c 1'
_space_group_IT_number 14
_space_group_name_Hall '-P 2ybc'
_cell_length_a 3.833
_cell_length_b 3.360
_cell_length_c 11.333
_cell_angle_alpha 90.00
_cell_angle_beta 96.06
_cell_angle_gamma 90.00
loop_
_atom_site_label
_atom_site_type_symbol
_atom_site_fract_x
_atom_site_fract_y
_atom_site_fract_z
Li1 Li 0.243 0.201 0.229
H1 H 0.208 0.594 0.906
H2 H 0.387 0.015 0.902
N1 N 0.281 0.703 0.345
```

=====

Number 1: total magnetic moment 0.00 μB per cell, energy above the lowest structure with this stoichiometry 45 meV/atom. Number 2: total magnetic moment 0.00 μB per cell, energy above the lowest structure with this stoichiometry 21 meV/atom.